# 1
Computed, not measured: a geometry-optimized Li6Co6O5F11 structure at the GGA+U level of DFT.

a b c (Å): 5.876 5.976 9.978
angles (deg): 82.68 83.39 60.91
Space group P1 (No. 1)
Inequivalent atoms, fractional coordinates:
Li1 0.000 0.000 0.000 [1 per cell]
Li2 0.021 0.025 0.619 [1 per cell]
Li3 0.279 0.271 0.474 [1 per cell]
Li4 0.306 0.319 0.129 [1 per cell]
Li5 0.502 0.518 0.847 [1 per cell]
Li6 0.557 0.576 0.601 [1 per cell]
Co1 0.043 0.504 0.810 [1 per cell]
Co2 0.307 0.784 0.309 [1 per cell]
Co3 0.501 0.056 0.809 [1 per cell]
Co4 0.652 0.660 0.074 [1 per cell]
Co5 0.779 0.308 0.307 [1 per cell]
Co6 0.781 0.785 0.310 [1 per cell]
O1 0.325 0.326 0.924 [1 per cell]
O2 0.464 0.509 0.203 [1 per cell]
O3 0.488 0.941 0.207 [1 per cell]
O4 0.596 0.636 0.413 [1 per cell]
O5 0.936 0.507 0.206 [1 per cell]
F1 0.101 0.630 0.417 [1 per cell]
F2 0.110 0.084 0.426 [1 per cell]
F3 0.201 0.213 0.671 [1 per cell]
F4 0.222 0.691 0.696 [1 per cell]
F5 0.356 0.835 0.933 [1 per cell]
F6 0.635 0.087 0.418 [1 per cell]
F7 0.683 0.234 0.690 [1 per cell]
F8 0.700 0.712 0.715 [1 per cell]
F9 0.826 0.360 0.937 [1 per cell]
F10 0.831 0.836 0.931 [1 per cell]
F11 0.981 0.956 0.200 [1 per cell]

Energy relative to the lowest polymorph listed for this composition, meV/atom: 33
Crystal system: triclinic
Calculated density, g cm⁻³: 3.7

---

# 2
Computed, not measured: a geometry-optimized Li6Co2OF11 structure at the GGA+U level of DFT.

a b c (Å): 5.047 5.773 8.531
angles (deg): 106.77 91.04 115.40
Space group P1 (No. 1)
Inequivalent atoms, fractional coordinates:
Li1 0.000 0.000 0.000 [1 per cell]
Li2 0.028 0.014 0.411 [1 per cell]
Li3 0.139 0.539 0.318 [1 per cell]
Li4 0.252 0.461 0.811 [1 per cell]
Li5 0.373 0.903 0.692 [1 per cell]
Li6 0.744 0.434 0.995 [1 per cell]
Co1 0.519 0.951 0.209 [1 per cell]
Co2 0.761 0.480 0.619 [1 per cell]
O1 0.563 0.782 0.323 [1 per cell]
F1 0.023 0.710 0.508 [1 per cell]
F2 0.050 0.719 0.811 [1 per cell]
F3 0.089 0.751 0.189 [1 per cell]
F4 0.456 0.150 0.089 [1 per cell]
F5 0.479 0.232 0.422 [1 per cell]
F6 0.515 0.278 0.745 [1 per cell]
F7 0.555 0.682 0.660 [1 per cell]
F8 0.584 0.719 0.006 [1 per cell]
F9 0.942 0.172 0.240 [1 per cell]
F10 0.965 0.275 0.588 [1 per cell]
F11 0.989 0.267 0.929 [1 per cell]

Energy relative to the lowest polymorph listed for this composition, meV/atom: 41
Crystal system: triclinic
Calculated density, g cm⁻³: 3.0

---

# 3
Computed, not measured: a geometry-optimized Li8CoO5F structure at the GGA+U level of DFT.

a b c (Å): 5.435 5.780 8.619
angles (deg): 98.06 95.30 92.26
Space group P1 (No. 1)
Inequivalent atoms, fractional coordinates:
Li1 0.000 0.000 0.000 [1 per cell]
Li2 0.006 0.351 0.361 [1 per cell]
Li3 0.028 0.679 0.667 [1 per cell]
Li4 0.163 0.620 0.931 [1 per cell]
Li5 0.171 0.296 0.670 [1 per cell]
Li6 0.325 0.531 0.237 [1 per cell]
Li7 0.337 0.206 0.924 [1 per cell]
Li8 0.358 0.893 0.582 [1 per cell]
Li9 0.471 0.512 0.495 [1 per cell]
Li10 0.507 0.848 0.856 [1 per cell]
Li11 0.540 0.165 0.177 [1 per cell]
Li12 0.643 0.129 0.452 [1 per cell]
Li13 0.666 0.785 0.152 [1 per cell]
Li14 0.815 0.718 0.415 [1 per cell]
Li15 0.833 0.033 0.750 [1 per cell]
Li16 0.877 0.389 0.078 [1 per cell]
Co1 0.182 0.945 0.269 [1 per cell]
Co2 0.686 0.448 0.757 [1 per cell]
O1 0.003 0.648 0.238 [1 per cell]
O2 0.007 0.291 0.878 [1 per cell]
O3 0.338 0.246 0.349 [1 per cell]
O4 0.343 0.923 0.043 [1 per cell]
O5 0.358 0.608 0.698 [1 per cell]
O6 0.478 0.801 0.375 [1 per cell]
O7 0.511 0.151 0.733 [1 per cell]
O8 0.819 0.438 0.545 [1 per cell]
O9 0.838 0.742 0.850 [1 per cell]
O10 0.880 0.093 0.204 [1 per cell]
F1 0.003 0.953 0.568 [1 per cell]
F2 0.525 0.439 0.071 [1 per cell]

Energy relative to the lowest polymorph listed for this composition, meV/atom: 38
Crystal system: triclinic
Calculated density, g cm⁻³: 2.7

---

# 4
Computed, not measured: a geometry-optimized Li7CoOF7 structure at the GGA+U level of DFT.

a b c (Å): 2.929 8.341 5.852
angles (deg): 90.00 90.00 90.00
Space group Pmm2 (No. 25)
Inequivalent atoms, fractional coordinates:
Li1 0.000 0.000 0.000 [1 per cell]
Li2 0.000 0.000 0.492 [1 per cell]
Li3 0.000 0.500 0.474 [1 per cell]
Li4 0.500 0.238 0.739 [2 per cell]
Li5 0.500 0.254 0.255 [2 per cell]
Co1 0.000 0.500 0.017 [1 per cell]
O1 0.500 0.500 0.239 [1 per cell]
F1 0.000 0.239 0.989 [2 per cell]
F2 0.000 0.245 0.500 [2 per cell]
F3 0.500 0.000 0.247 [1 per cell]
F4 0.500 0.000 0.743 [1 per cell]
F5 0.500 0.500 0.745 [1 per cell]

Crystal system: orthorhombic
Calculated density, g cm⁻³: 3.0
Raw total energy, eV/atom: -4.93

---

# 5
Computed, not measured: a geometry-optimized Li8CoO5F structure at the GGA+U level of DFT.

a b c (Å): 5.457 5.730 5.743
angles (deg): 67.90 75.70 61.84
Space group P1 (No. 1)
Inequivalent atoms, fractional coordinates:
Li1 0.000 0.000 0.000 [1 per cell]
Li2 0.023 0.188 0.282 [1 per cell]
Li3 0.064 0.691 0.754 [1 per cell]
Li4 0.291 0.574 0.309 [1 per cell]
Li5 0.385 0.274 0.004 [1 per cell]
Li6 0.635 0.828 0.307 [1 per cell]
Li7 0.687 0.594 0.006 [1 per cell]
Li8 0.964 0.399 0.590 [1 per cell]
Co1 0.616 0.111 0.569 [1 per cell]
O1 0.039 0.335 0.916 [1 per cell]
O2 0.336 0.180 0.393 [1 per cell]
O3 0.663 0.455 0.403 [1 per cell]
O4 0.705 0.964 0.899 [1 per cell]
O5 0.943 0.847 0.409 [1 per cell]
F1 0.325 0.660 0.951 [1 per cell]

Energy relative to the lowest polymorph listed for this composition, meV/atom: 27
Crystal system: triclinic
Calculated density, g cm⁻³: 2.4

---

# 6
Computed, not measured: a geometry-optimized Li2CoOF3 structure at the GGA+U level of DFT.

a b c (Å): 9.642 5.904 5.132
angles (deg): 90.00 90.15 90.00
Space group C2 (No. 5)
Inequivalent atoms, fractional coordinates:
Li1 0.195 0.000 0.001 [4 per cell]
Li2 0.204 0.288 0.480 [4 per cell]
Co1 0.000 0.533 0.000 [2 per cell]
Co2 0.000 0.795 0.500 [2 per cell]
O1 0.101 0.751 0.198 [4 per cell]
F1 0.128 0.290 0.129 [4 per cell]
F2 0.134 0.537 0.692 [4 per cell]
F3 0.142 0.010 0.638 [4 per cell]

Energy relative to the lowest polymorph listed for this composition, meV/atom: 18
Crystal system: monoclinic
Calculated density, g cm⁻³: 3.3

---

# 7
Computed, not measured: a geometry-optimized Li3Co4O4F3 structure at the GGA+U level of DFT.

a b c (Å): 2.976 2.976 29.817
angles (deg): 90.00 90.00 90.00
Space group I4/mmm (No. 139)
Inequivalent atoms, fractional coordinates:
Li1 0.000 0.000 0.000 [2 per cell]
Li2 0.000 0.000 0.431 [4 per cell]
Co1 0.000 0.000 0.141 [4 per cell]
Co2 0.000 0.000 0.282 [4 per cell]
O1 0.000 0.000 0.213 [4 per cell]
O2 0.000 0.000 0.359 [4 per cell]
F1 0.000 0.000 0.067 [4 per cell]
F2 0.000 0.000 0.500 [2 per cell]

Crystal system: tetragonal
Calculated density, g cm⁻³: 4.7
Raw total energy, eV/atom: -5.39

---

# 8
Computed, not measured: a geometry-optimized Li3CoOF3 structure at the GGA+U level of DFT.

a b c (Å): 2.918 2.918 8.497
angles (deg): 90.00 90.00 90.00
Space group P4/mmm (No. 123)
Inequivalent atoms, fractional coordinates:
Li1 0.000 0.000 0.000 [1 per cell]
Li2 0.500 0.500 0.244 [2 per cell]
Co1 0.000 0.000 0.500 [1 per cell]
O1 0.500 0.500 0.500 [1 per cell]
F1 0.000 0.000 0.237 [2 per cell]
F2 0.500 0.500 0.000 [1 per cell]

Energy relative to the lowest polymorph listed for this composition, meV/atom: 0
Crystal system: tetragonal
Calculated density, g cm⁻³: 3.5

---

Spin magnetization per entry: 12.10 3.09 0.99 3.00 4.05 4.00 12.00 2.99 μB/f.u.